Version A
Material: CaCoRu2
Method: DFT, SCAN
State: single point on PBEsol structure

**Density**: 8.510 g cm⁻³
**Volume**: 14.69 A^3/atom

Cell: 4.364 4.364 4.364 Å, 60.00 60.00 60.00°
Element x y z (fractional)
Ca: 0.000 0.000 0.000
Co: 0.500 0.500 0.500
Ru: 0.250 0.250 0.250
Ru: 0.750 0.750 0.750

Version B
Material: CaCoRu2
Method: DFT, SCAN
State: single point on PBEsol structure

**Density**: 8.141 g cm⁻³
**Volume**: 15.36 A^3/atom

Cell: 2.745 4.144 5.570 Å, 90.00 104.18 90.00°
Element x y z (fractional)
Ca: 0.000 0.000 0.000
Co: 0.629 0.500 0.261
Ru: 0.320 0.500 0.643
Ru: 0.741 0.000 0.487

version B comes first in stability; the runner-up is 146 meV per atom higher.

Version A
Material: Ca2TaCo
Method: DFT, SCAN
State: single point on PBEsol structure

**Density**: 5.352 g cm⁻³
**Volume**: 24.82 A^3/atom

Cell: 8.792 8.792 8.792 Å, 159.35 155.50 32.25°
Element x y z (fractional)
Ca: 0.154 0.154 0.000
Ca: 0.846 0.846 0.000
Ta: 0.500 0.000 0.500
Co: 0.000 0.500 0.500

Version B
Material: Ca2TaCo
Method: DFT, SCAN
State: single point on PBEsol structure

**Density**: 6.093 g cm⁻³
**Volume**: 21.80 A^3/atom

Cell: 5.425 5.425 2.964 Å, 90.00 90.00 90.00°
Element x y z (fractional)
Ca: 0.000 0.500 0.000
Ca: 0.500 0.000 0.000
Ta: 0.000 0.000 0.500
Co: 0.500 0.500 0.500

version A comes first in stability; the runner-up is 656 meV per atom higher.

Version A
Material: Ca2TaCo
Method: DFT, SCAN
State: single point on PBEsol structure

**Density**: 5.121 g cm⁻³
**Volume**: 25.94 A^3/atom

Cell: 9.416 9.416 9.416 Å, 22.12 22.12 22.12°
Element x y z (fractional)
Ca: 0.000 0.000 0.000
Ca: 0.205 0.205 0.205
Ta: 0.440 0.440 0.440
Co: 0.736 0.736 0.736

Version B
Material: Ca2TaCo
Method: DFT, SCAN
State: single point on PBEsol structure

**Density**: 6.088 g cm⁻³
**Volume**: 21.82 A^3/atom

Cell: 4.979 4.979 4.979 Å, 60.00 60.00 60.00°
Element x y z (fractional)
Ca: 0.250 0.250 0.250
Ca: 0.750 0.750 0.750
Ta: 0.000 0.000 0.000
Co: 0.500 0.500 0.500

version A comes first in stability; the runner-up is 697 meV per atom higher.